## BaHf2RhO8 (PBE)

Data for a relaxed BaHf2RhO8 crystal.

a b c (Å): 4.944 4.937 6.897
angles (deg): 90.01 90.01 88.12
Positions (direct):
Rh: 0.000 0.000 0.000
Hf: 0.500 0.500 0.763
O: 0.793 0.208 0.807
Hf: 0.500 0.500 0.237
O: 0.207 0.792 0.193
Ba: 0.000 0.000 0.500
O: 0.793 0.208 0.193
O: 0.705 0.706 0.000
O: 0.295 0.294 0.000
O: 0.345 0.342 0.500
O: 0.207 0.792 0.807
O: 0.655 0.658 0.500

Properties
energy = -94.84 eV for the cell shown
crystal system = monoclinic
calculated density = 7.16 Mg/m³